VASP calculation (PBE) on LiPr2Mg after structural relaxation.

Geometry as extended XYZ:
```
4
Lattice="1.734 1.001 12.226 -1.734 1.001 12.226 0.000 -2.003 12.226" Properties=species:S:1:pos:R:3 pbc="T T T"
Li 0.000 0.000 0.000
Pr 0.000 0.000 3.355
Pr 0.000 0.000 33.322
Mg 0.000 0.000 18.339
```

Computed properties:
As for the crystal system: trigonal. The magnetic moment is 0.0 μB/f.u. The calculation puts the calculated density at 4.08 g/cm³. The polymorph energy (0 for the lowest one) is 181 meV per atom. The density of states at the Fermi level comes out at 4.34 states/eV/f.u. The total energy comes out at -3.091 eV per atom. For the formation energy, the calculation gives 0.18 eV per atom.